Below is crystalline Al2POs at its relaxed geometry, with properties calculated at the PBE level.

a b c (Å): 7.9474 7.9474 7.9474
angles (deg): 21.81 21.81 21.81
With the nearest neighbours (Å) after each atom.
Sites, in units of the cell vectors:
Al1 0.0055 0.0055 0.0055  3 P 2.62, 3 Al 2.78
Al2 0.2454 0.2454 0.2454  3 Os 2.66, 3 Al 2.78
Os1 0.4924 0.4924 0.4924  3 P 2.37
P1 0.7566 0.7566 0.7566  3 Os 2.37, 3 Al 2.62

Summary:
ΔH_f (0 K)   -0.097 eV per atom
Electronic total energy   -6.13 eV per atom
Calculated volume   61 Å³/f.u.
Mass density   7526 kg/m3
Crystal system   trigonal

---

Below is crystalline AlP2Os at its relaxed geometry, with properties calculated at the PBE level.

a b c (Å): 4.3063 3.7282 4.3086
angles (deg): 64.90 90.00 90.00
With the nearest neighbours (Å) after each atom.
Sites, in units of the cell vectors:
P1 0.5000 0.2806 0.1444  3 Os 2.34-2.46
P2 0.0000 0.7588 0.0074  3 Al 2.33-2.49, 2 Os 2.41
Al1 0.0000 0.4730 0.6044  3 P 2.33-2.49
Os1 0.5000 0.9877 0.7438  5 P 2.34-2.46

Summary:
ΔH_f (0 K)   -0.073 eV per atom
Electronic total energy   -6.52 eV per atom
Calculated volume   63 Å³/f.u.
Mass density   7400 kg/m3
Crystal system   monoclinic